Entry 1:
NaHfNO | PBE | relaxed

## Properties
- Energy above the most stable polymorph in this dataset: 100 meV per atom

a b c (Å): 4.510 4.510 4.383
angles (deg): 90.00 90.00 90.00
Fractional coordinates of all 8 atoms:
1 Hf 0.750 0.250 0.500
2 Hf 0.250 0.750 0.500
3 N 0.750 0.750 0.500
4 N 0.250 0.250 0.500
5 Na 0.250 0.250 0.000
6 Na 0.750 0.750 0.000
7 O 0.750 0.250 0.000
8 O 0.250 0.750 0.000



Entry 2:
UZnMo | PBE | relaxed

## Properties
- Energy above the most stable polymorph in this dataset: 452 meV per atom

a b c (Å): 4.471 4.471 4.471
angles (deg): 60.00 60.00 60.00
Fractional coordinates of all 3 atoms:
1 Mo 0.250 0.250 0.250
2 U 0.000 0.000 0.000
3 Zn 0.750 0.750 0.750



Entry 3:
Lu2FeC | PBE | relaxed

## Properties
- Energy above the most stable polymorph in this dataset: 0 meV per atom

a b c (Å): 5.926 5.926 14.536
angles (deg): 102.02 102.02 59.96
Fractional coordinates of all 24 atoms:
1 C 0.500 0.000 0.000
2 C 0.823 0.339 0.000
3 C 0.661 0.177 0.500
4 C 0.000 0.500 0.500
5 C 0.339 0.823 0.500
6 C 0.177 0.661 0.000
7 Fe 0.097 0.420 0.250
8 Fe 0.087 0.913 0.250
9 Fe 0.580 0.903 0.250
10 Fe 0.420 0.097 0.750
11 Fe 0.913 0.087 0.750
12 Fe 0.903 0.580 0.750
13 Lu 0.199 0.029 0.090
14 Lu 0.862 0.698 0.090
15 Lu 0.534 0.372 0.103
16 Lu 0.628 0.466 0.397
17 Lu 0.302 0.138 0.410
18 Lu 0.971 0.801 0.410
19 Lu 0.029 0.199 0.590
20 Lu 0.698 0.862 0.590
21 Lu 0.372 0.534 0.603
22 Lu 0.466 0.628 0.897
23 Lu 0.138 0.302 0.910
24 Lu 0.801 0.971 0.910



Entry 4:
Y2ScAg2 | PBE | relaxed

## Properties
- Energy above the most stable polymorph in this dataset: 0 meV per atom

a b c (Å): 6.779 6.779 6.779
angles (deg): 138.85 138.85 59.60
Fractional coordinates of all 5 atoms:
1 Ag 0.392 0.392 0.000
2 Ag 0.608 0.608 0.000
3 Sc 0.000 0.000 0.000
4 Y 0.750 0.250 0.500
5 Y 0.250 0.750 0.500



Entry 5:
SrNbGa | PBE | relaxed

## Properties
- Energy above the most stable polymorph in this dataset: 734 meV per atom

a b c (Å): 5.071 5.071 5.071
angles (deg): 60.00 60.00 60.00
Fractional coordinates of all 3 atoms:
1 Ga 0.250 0.250 0.250
2 Nb 0.750 0.750 0.750
3 Sr 0.000 0.000 0.000



Entry 6:
Sm2Cu2B2CN | PBE | relaxed

a b c (Å): 3.632 3.632 7.844
angles (deg): 90.00 90.00 90.00
Fractional coordinates of all 8 atoms:
1 B 0.500 0.500 0.328
2 B 0.000 0.000 0.666
3 C 0.000 0.000 0.853
4 Cu 0.500 0.000 0.497
5 Cu 0.000 0.500 0.497
6 N 0.500 0.500 0.147
7 Sm 0.000 0.000 0.169
8 Sm 0.500 0.500 0.842



Entry 7:
YFeSiAu | PBE | relaxed

## Properties
- Energy above the most stable polymorph in this dataset: 81 meV per atom

a b c (Å): 4.583 4.583 4.583
angles (deg): 60.00 60.00 60.00
Fractional coordinates of all 4 atoms:
1 Au 0.250 0.250 0.250
2 Fe 0.750 0.750 0.750
3 Si 0.000 0.000 0.000
4 Y 0.500 0.500 0.500



Entry 8:
Y2NiH6Pt | PBE | relaxed

a b c (Å): 5.117 5.117 5.117
angles (deg): 60.00 60.00 60.00
Fractional coordinates of all 10 atoms:
1 H 0.763 0.237 0.237
2 H 0.237 0.763 0.237
3 H 0.763 0.763 0.237
4 H 0.237 0.763 0.763
5 H 0.237 0.237 0.763
6 H 0.763 0.237 0.763
7 Ni 0.000 0.000 0.000
8 Pt 0.500 0.500 0.500
9 Y 0.250 0.250 0.250
10 Y 0.750 0.750 0.750



| no. | raw total energy (eV/f.u.) |
| --- | --- |
| 1 | -31.76 |
| 2 | -19.95 |
| 3 | -26.65 |
| 4 | -24.34 |
| 5 | -10.62 |
| 6 | -52.20 |
| 7 | -23.79 |
| 8 | -49.32 |